# 1
VASP calculation (GGA-PBE) on crystalline Li3Ac2Ga2 at its relaxed geometry.

a b c (Å): 4.926 6.048 6.863
angles (deg): 105.55 90.00 114.03
Positions (direct):
Li: 0.500 0.000 0.000
Li: 0.616 0.231 0.422
Li: 0.384 0.769 0.578
Ac: 0.853 0.707 0.227
Ac: 0.147 0.293 0.773
Ga: 0.847 0.695 0.740
Ga: 0.153 0.305 0.260

Values from the calculation:
The crystal system is monoclinic. As for the calculated total energy: -21.86 eV/cell.

***

# 2
VASP calculation (GGA-PBE) on crystalline LiAc8Ga2 at its relaxed geometry.

a b c (Å): 5.483 7.795 10.272
angles (deg): 102.53 105.48 90.00
Positions (direct):
Li: 0.500 0.000 0.000
Ac: 0.407 0.534 0.815
Ac: 0.667 0.963 0.334
Ac: 0.801 0.684 0.601
Ac: 0.970 0.240 0.940
Ac: 0.199 0.316 0.399
Ac: 0.333 0.037 0.666
Ac: 0.593 0.466 0.185
Ac: 0.030 0.760 0.060
Ga: 0.807 0.272 0.614
Ga: 0.193 0.728 0.386

Values from the calculation:
The crystal system is monoclinic. As for the calculated total energy: -42.10 eV/cell.

***

Number 1: magnetization 0.00 μB/atom. Number 2: magnetization 0.00 μB/atom.